No. 1
Material: AlPbBr2
Method: DFT, GGA-PBE
State: optimized geometry

Output
Its space group is Cmmm. The formation energy from raw total energies is -264 meV per atom. The value obtained for the density of states at the Fermi level is 0.2189 states/eV per atom.

Cell lengths 3.726, 3.726, 9.282 Å; angles 90.00, 90.00, 115.52 degrees
Fractional coordinates of all 4 atoms:
Al  0.000  0.000  0.000
Pb  0.000  0.000  0.500
Br  0.500  0.500  0.230
Br  0.500  0.500  0.770

=====

No. 2
Material: Al2PbBr4
Method: DFT, GGA-PBE
State: optimized geometry

Output
Its space group is I4/mmm. The formation energy from raw total energies is -403 meV per atom. The value obtained for the density of states at the Fermi level is 0.0017 states/eV per atom.

Cell lengths 8.306, 8.306, 8.306 Å; angles 136.66, 136.66, 62.96 degrees
Fractional coordinates of all 7 atoms:
Al  0.108  0.108  0.000
Al  0.892  0.892  0.000
Pb  0.500  0.500  0.000
Br  0.000  0.500  0.500
Br  0.288  0.288  0.000
Br  0.500  0.000  0.500
Br  0.712  0.712  0.000

=====

No. 3
Material: AlPbBr
Method: DFT, GGA-PBE
State: optimized geometry

Output
Its space group is I4mm. The formation energy from raw total energies is -23 meV per atom. The value obtained for the density of states at the Fermi level is 0.2782 states/eV per atom.

Cell lengths 7.488, 7.488, 7.488 Å; angles 153.70, 153.70, 37.53 degrees
Fractional coordinates of all 3 atoms:
Al  0.000  0.000  0.000
Pb  0.350  0.350  0.000
Br  0.619  0.619  0.000

=====

No. 4
Material: Al3PbBr
Method: DFT, GGA-PBE
State: optimized geometry

Output
Its space group is Pm-3m. The formation energy from raw total energies is 717 meV per atom. The value obtained for the density of states at the Fermi level is 0.6339 states/eV per atom.

Cell lengths 5.287, 5.287, 5.287 Å; angles 90.00, 90.00, 90.00 degrees
Fractional coordinates of all 5 atoms:
Al  0.000  0.000  0.500
Al  0.000  0.500  0.000
Al  0.500  0.000  0.000
Pb  0.500  0.500  0.500
Br  0.000  0.000  0.000

=====

No. 5
Material: AlPbBr
Method: DFT, GGA-PBE
State: optimized geometry

Output
Its space group is P3m1. The formation energy from raw total energies is 107 meV per atom. The value obtained for the density of states at the Fermi level is 0.7073 states/eV per atom.

Cell lengths 5.259, 5.259, 3.344 Å; angles 90.00, 90.00, 120.00 degrees
Fractional coordinates of all 3 atoms:
Al  0.000  0.000  0.000
Pb  0.333  0.667  0.495
Br  0.667  0.333  0.010

=====

No. 6
Material: AlPb2Br
Method: DFT, GGA-PBE
State: optimized geometry

Output
Its space group is Pmmm. The formation energy from raw total energies is 21 meV per atom. The value obtained for the density of states at the Fermi level is 0.6753 states/eV per atom.

Cell lengths 3.510, 5.403, 6.083 Å; angles 90.00, 90.00, 90.00 degrees
Fractional coordinates of all 4 atoms:
Al  0.000  0.000  0.000
Pb  0.000  0.500  0.500
Pb  0.500  0.500  0.000
Br  0.500  0.000  0.500

=====

No. 7
Material: AlPbBr
Method: DFT, GGA-PBE
State: optimized geometry

Output
Its space group is F-43m. The formation energy from raw total energies is 222 meV per atom. The value obtained for the density of states at the Fermi level is 1.0593 states/eV per atom.

Cell lengths 5.058, 5.058, 5.058 Å; angles 60.00, 60.00, 60.00 degrees
Fractional coordinates of all 3 atoms:
Al  0.000  0.000  0.000
Pb  0.750  0.750  0.750
Br  0.250  0.250  0.250

=====

No. 8
Material: AlPbBr2
Method: DFT, GGA-PBE
State: optimized geometry

Output
Its space group is Cmm2. The formation energy from raw total energies is -293 meV per atom. The value obtained for the density of states at the Fermi level is 0.2601 states/eV per atom.

Cell lengths 3.913, 3.913, 9.525 Å; angles 90.00, 90.00, 116.79 degrees
Fractional coordinates of all 4 atoms:
Al  0.000  0.000  0.000
Pb  0.500  0.500  0.764
Br  0.000  0.000  0.547
Br  0.500  0.500  0.172

=====

No. 9
Material: AlPb2Br
Method: DFT, GGA-PBE
State: optimized geometry

Output
Its space group is I-4m2. The formation energy from raw total energies is 107 meV per atom. The value obtained for the density of states at the Fermi level is 0.6117 states/eV per atom.

Cell lengths 6.783, 6.783, 6.783 Å; angles 141.89, 141.89, 54.99 degrees
Fractional coordinates of all 4 atoms:
Al  0.000  0.000  0.000
Pb  0.500  0.500  0.000
Pb  0.750  0.250  0.500
Br  0.250  0.750  0.500

=====

No. 10
Material: AlPbBr3
Method: DFT, GGA-PBE
State: optimized geometry

Output
Its space group is Pm-3m. The formation energy from raw total energies is -403 meV per atom.

Cell lengths 5.918, 5.918, 5.918 Å; angles 90.00, 90.00, 90.00 degrees
Fractional coordinates of all 5 atoms:
Al  0.000  0.000  0.000
Pb  0.500  0.500  0.500
Br  0.000  0.500  0.500
Br  0.500  0.000  0.500
Br  0.500  0.500  0.000

=====

No. 11
Material: AlPbBr4
Method: DFT, GGA-PBE
State: optimized geometry

Output
Its space group is F-43m. The formation energy from raw total energies is 338 meV per atom. The value obtained for the density of states at the Fermi level is 1.0580 states/eV per atom.

Cell lengths 6.435, 6.435, 6.435 Å; angles 60.00, 60.00, 60.00 degrees
Fractional coordinates of all 6 atoms:
Al  0.000  0.000  0.000
Pb  0.250  0.250  0.250
Br  0.124  0.625  0.625
Br  0.625  0.124  0.625
Br  0.625  0.625  0.124
Br  0.625  0.625  0.625

=====

No. 12
Material: AlPb4Br
Method: DFT, GGA-PBE
State: optimized geometry

Output
Its space group is F-43m. The formation energy from raw total energies is 232 meV per atom. The value obtained for the density of states at the Fermi level is 1.0382 states/eV per atom.

Cell lengths 6.500, 6.500, 6.500 Å; angles 60.00, 60.00, 60.00 degrees
Fractional coordinates of all 6 atoms:
Al  0.000  0.000  0.000
Pb  0.374  0.374  0.374
Pb  0.374  0.374  0.877
Pb  0.374  0.877  0.374
Pb  0.877  0.374  0.374
Br  0.750  0.750  0.750

=====

No. 13
Material: AlPb2Br
Method: DFT, GGA-PBE
State: optimized geometry

Output
Its space group is F-43m. The formation energy from raw total energies is 106 meV per atom. The value obtained for the density of states at the Fermi level is 0.5693 states/eV per atom.

Cell lengths 5.398, 5.398, 5.398 Å; angles 60.00, 60.00, 60.00 degrees
Fractional coordinates of all 4 atoms:
Al  0.000  0.000  0.000
Pb  0.500  0.500  0.500
Pb  0.750  0.750  0.750
Br  0.250  0.250  0.250

=====

No. 14
Material: AlPb2Br
Method: DFT, GGA-PBE
State: optimized geometry

Output
Its space group is I4/mmm. The formation energy from raw total energies is 87 meV per atom. The value obtained for the density of states at the Fermi level is 0.4036 states/eV per atom.

Cell lengths 5.282, 5.282, 5.282 Å; angles 114.07, 114.07, 100.62 degrees
Fractional coordinates of all 4 atoms:
Al  0.000  0.000  0.000
Pb  0.250  0.750  0.500
Pb  0.750  0.250  0.500
Br  0.500  0.500  0.000

=====

No. 15
Material: AlPbBr2
Method: DFT, GGA-PBE
State: optimized geometry

Output
Its space group is Pmmm. The formation energy from raw total energies is -185 meV per atom. The value obtained for the density of states at the Fermi level is 0.6012 states/eV per atom.

Cell lengths 3.589, 3.611, 8.665 Å; angles 90.00, 90.00, 90.00 degrees
Fractional coordinates of all 4 atoms:
Al  0.000  0.000  0.000
Pb  0.000  0.000  0.500
Br  0.500  0.500  0.228
Br  0.500  0.500  0.772

=====

No. 16
Material: AlPbBr2
Method: DFT, GGA-PBE
State: optimized geometry

Output
Its space group is C2/m. The formation energy from raw total energies is -262 meV per atom. The value obtained for the density of states at the Fermi level is 0.2344 states/eV per atom.

Cell lengths 5.143, 5.143, 6.682 Å; angles 103.24, 103.24, 42.93 degrees
Fractional coordinates of all 4 atoms:
Al  0.000  0.000  0.000
Pb  0.500  0.500  0.500
Br  0.263  0.263  0.756
Br  0.737  0.737  0.244

=====

No. 17
Material: AlPb2Br
Method: DFT, GGA-PBE
State: optimized geometry

Output
Its space group is P4mm. The formation energy from raw total energies is -40 meV per atom. The value obtained for the density of states at the Fermi level is 0.2076 states/eV per atom.

Cell lengths 3.480, 3.480, 9.644 Å; angles 90.00, 90.00, 90.00 degrees
Fractional coordinates of all 4 atoms:
Al  0.000  0.000  0.000
Pb  0.000  0.000  0.513
Pb  0.500  0.500  0.769
Br  0.500  0.500  0.164

=====

No. 18
Material: AlPbBr2
Method: DFT, GGA-PBE
State: optimized geometry

Output
Its space group is Pmmm. The formation energy from raw total energies is -225 meV per atom. The value obtained for the density of states at the Fermi level is 0.4128 states/eV per atom.

Cell lengths 3.867, 4.755, 6.222 Å; angles 90.00, 90.00, 90.00 degrees
Fractional coordinates of all 4 atoms:
Al  0.000  0.000  0.000
Pb  0.500  0.000  0.500
Br  0.000  0.500  0.500
Br  0.500  0.500  0.000

=====

No. 19
Material: AlPbBr2
Method: DFT, GGA-PBE
State: optimized geometry

Output
Its space group is Pmm2. The formation energy from raw total energies is -242 meV per atom. The value obtained for the density of states at the Fermi level is 0.2894 states/eV per atom.

Cell lengths 3.897, 4.114, 7.279 Å; angles 90.00, 90.00, 90.00 degrees
Fractional coordinates of all 4 atoms:
Al  0.000  0.000  0.000
Pb  0.500  0.500  0.656
Br  0.000  0.000  0.362
Br  0.500  0.500  0.066

=====

No. 20
Material: Al3PbBr
Method: DFT, GGA-PBE
State: optimized geometry

Output
Its space group is Pm-3m. The formation energy from raw total energies is 696 meV per atom. The value obtained for the density of states at the Fermi level is 0.3878 states/eV per atom.

Cell lengths 5.639, 5.639, 5.639 Å; angles 90.00, 90.00, 90.00 degrees
Fractional coordinates of all 5 atoms:
Al  0.000  0.000  0.500
Al  0.000  0.500  0.000
Al  0.500  0.000  0.000
Pb  0.000  0.000  0.000
Br  0.500  0.500  0.500